GGA-PBE La2ThH, relaxed; size of the total moment = 0.000 μB/f.u.; SG = R-3m (166); uncorrected energy = -5.32 eV per atom
1.0
1.857 1.072 8.828
-1.857 1.072 8.828
0.000 -2.145 8.828
La Th H
2 1 1
direct
0.226 0.226 0.226 La
0.774 0.774 0.774 La
0.000 0.000 0.000 Th
0.500 0.500 0.500 H